(1)
VASP calculation (PBE) on crystalline AsS3Cl3F6 at its relaxed geometry.

Cell and atoms, written as POSCAR:
```
AsS3Cl3F6
1.0
7.9379 0.0000 0.0000
3.8143 7.6043 0.0000
3.8197 -0.3138 9.5550
As S Cl F
2 6 6 12
direct
0.2005 0.2558 0.2500
0.7995 0.7442 0.7500
0.1037 0.1708 0.9033
0.3446 0.6651 0.4255
0.4681 0.7145 0.5288
0.5319 0.2855 0.4712
0.6554 0.3349 0.5745
0.8963 0.8292 0.0967
0.1098 0.1682 0.7091
0.1752 0.7804 0.9758
0.4922 0.6665 0.2123
0.5078 0.3335 0.7877
0.8248 0.2196 0.0242
0.8902 0.8318 0.2909
0.0616 0.6161 0.7113
0.1519 0.1334 0.4029
0.1952 0.1022 0.1517
0.2064 0.4084 0.3474
0.2503 0.3761 0.0964
0.4638 0.1272 0.2115
0.5362 0.8728 0.7885
0.7497 0.6239 0.9036
0.7936 0.5916 0.6526
0.8048 0.8978 0.8483
0.8481 0.8666 0.5971
0.9384 0.3839 0.2887
```

Results
The calculation puts the total energy at -98.29 eV per cell. The formation energy (no corrections) is -114 kJ/mol of atoms. The calculated volume comes out at 576.8 Å³/cell. As for the symmetry: P-1 (2). The total moment is 1.61 μB/cell.

---

(2)
VASP calculation (PBE) on crystalline AsSCl2F at its relaxed geometry.

Cell and atoms, written as POSCAR:
```
AsSCl2F
1.0
5.3734 0.0000 0.0000
0.0000 5.3734 0.0000
0.0000 0.0000 3.6105
As S Cl F
1 1 2 1
direct
0.0000 0.0000 0.0000
0.5000 0.5000 0.0000
0.0000 0.5000 0.5000
0.5000 0.0000 0.5000
0.5000 0.5000 0.5000
```

Results
The calculation puts the total energy at -11.82 eV per cell. The formation energy (no corrections) is 49 kJ/mol of atoms. The calculated volume comes out at 104.2 Å³/cell. As for the symmetry: P4/mmm (123). The total moment is 0.47 μB/cell.

---

(3)
VASP calculation (PBE) on crystalline AsSCl3F6 at its relaxed geometry.

Cell and atoms, written as POSCAR:
```
AsSCl3F6
1.0
7.9911 0.0000 0.0000
0.0000 9.0481 0.0000
0.0000 0.0000 12.0488
As S Cl F
4 4 12 24
direct
0.2027 0.0399 0.3078
0.2973 0.9601 0.8078
0.7027 0.4601 0.6922
0.7973 0.5399 0.1922
0.1585 0.4727 0.4805
0.3415 0.5273 0.9805
0.6585 0.0273 0.5195
0.8415 0.9727 0.0195
0.1401 0.5051 0.8839
0.1571 0.6620 0.5645
0.2221 0.3244 0.5942
0.2779 0.6756 0.0942
0.3429 0.3380 0.0645
0.3599 0.4949 0.3839
0.6401 0.9949 0.1161
0.6571 0.8380 0.4355
0.7221 0.1756 0.4058
0.7779 0.8244 0.9058
0.8429 0.1620 0.9355
0.8599 0.0051 0.6161
0.0412 0.9506 0.3813
0.0808 0.0428 0.1850
0.1207 0.2163 0.3446
0.1303 0.8710 0.7339
0.1707 0.9573 0.9295
0.2101 0.1339 0.7702
0.2899 0.8661 0.2702
0.3293 0.0427 0.4295
0.3697 0.1290 0.2339
0.3793 0.7837 0.8446
0.4192 0.9572 0.6850
0.4588 0.0494 0.8813
0.5412 0.5494 0.6187
0.5808 0.4572 0.8150
0.6207 0.2837 0.6554
0.6303 0.6290 0.2661
0.6707 0.5427 0.0705
0.7101 0.3661 0.2298
0.7899 0.6339 0.7298
0.8293 0.4573 0.5705
0.8697 0.3710 0.7661
0.8793 0.7163 0.1554
0.9192 0.5428 0.3150
0.9588 0.4506 0.1187
```

Results
The calculation puts the total energy at -165.28 eV per cell. The formation energy (no corrections) is -138 kJ/mol of atoms. The calculated volume comes out at 871.2 Å³/cell. As for the symmetry: P2_12_12_1 (19). The total moment is 0.00 μB/cell.

---

(4)
VASP calculation (PBE) on crystalline AsSCl2F at its relaxed geometry.

Cell and atoms, written as POSCAR:
```
AsSCl2F
1.0
4.8229 0.0000 0.0000
0.0000 4.8229 0.0000
0.0000 0.0000 5.0333
As S Cl F
1 1 2 1
direct
0.0000 0.0000 0.0000
0.0000 0.0000 0.5000
0.0000 0.5000 0.0000
0.5000 0.0000 0.0000
0.5000 0.5000 0.5000
```

Results
The calculation puts the total energy at -13.92 eV per cell. The formation energy (no corrections) is 8 kJ/mol of atoms. The calculated volume comes out at 117.1 Å³/cell. As for the symmetry: P4/mmm (123). The total moment is 1.86 μB/cell.

---

(5)
VASP calculation (PBE) on crystalline As2SeClF at its relaxed geometry.

Cell and atoms, written as POSCAR:
```
As2SeClF
1.0
4.9233 0.0000 0.0000
0.0000 4.9233 0.0000
0.0000 0.0000 4.9044
As Se Cl F
2 1 1 1
direct
0.0000 0.5000 0.0000
0.5000 0.0000 0.0000
0.0000 0.0000 0.5000
0.0000 0.0000 0.0000
0.5000 0.5000 0.5000
```

Results
The calculation puts the total energy at -11.94 eV per cell. The formation energy (no corrections) is 88 kJ/mol of atoms. The calculated volume comes out at 118.9 Å³/cell. As for the symmetry: P4/mmm (123). The total moment is 0.00 μB/cell.

---

(6)
VASP calculation (PBE) on crystalline AsSe3Cl3F6 at its relaxed geometry.

Cell and atoms, written as POSCAR:
```
AsSe3Cl3F6
1.0
12.6665 0.0000 0.0000
0.0000 8.0663 0.0000
-3.1524 0.0000 12.0900
As Se Cl F
4 12 12 24
direct
0.2313 0.2072 0.4937
0.2313 0.2928 0.9937
0.7687 0.7072 0.0063
0.7687 0.7928 0.5063
0.1455 0.5719 0.2309
0.1455 0.9281 0.7309
0.3371 0.6410 0.3654
0.3371 0.8590 0.8654
0.3901 0.6363 0.7893
0.3901 0.8637 0.2893
0.6099 0.1363 0.7107
0.6099 0.3637 0.2107
0.6629 0.1410 0.1346
0.6629 0.3590 0.6346
0.8545 0.0719 0.2691
0.8545 0.4281 0.7691
0.0388 0.6553 0.3303
0.0388 0.8447 0.8303
0.1410 0.7194 0.6247
0.1410 0.7806 0.1247
0.4761 0.7295 0.6670
0.4761 0.7705 0.1670
0.5239 0.2295 0.8330
0.5239 0.2705 0.3330
0.8590 0.2194 0.8753
0.8590 0.2806 0.3753
0.9612 0.1553 0.1697
0.9612 0.3447 0.6697
0.1263 0.0619 0.4429
0.1263 0.4381 0.9429
0.1395 0.1681 0.0442
0.1395 0.3319 0.5442
0.1939 0.1843 0.8635
0.1939 0.3157 0.3635
0.2693 0.0983 0.6225
0.2693 0.4017 0.1225
0.3238 0.0846 0.4423
0.3238 0.4154 0.9423
0.3360 0.1459 0.0432
0.3360 0.3541 0.5432
0.6640 0.6459 0.4568
0.6640 0.8541 0.9568
0.6762 0.5846 0.0577
0.6762 0.9154 0.5577
0.7307 0.5983 0.8775
0.7307 0.9017 0.3775
0.8061 0.6843 0.6365
0.8061 0.8157 0.1365
0.8605 0.6681 0.4558
0.8605 0.8319 0.9558
0.8737 0.5619 0.0571
0.8737 0.9381 0.5571
```

Results
The calculation puts the total energy at -193.66 eV per cell. The formation energy (no corrections) is -123 kJ/mol of atoms. The calculated volume comes out at 1235.3 Å³/cell. As for the symmetry: P2_1/c (14). The total moment is 0.00 μB/cell.

---

(7)
VASP calculation (PBE) on crystalline As2SeClF at its relaxed geometry.

Cell and atoms, written as POSCAR:
```
As2SeClF
1.0
4.6763 0.0000 0.0000
0.0000 4.6763 0.0000
0.0000 0.0000 4.7048
As Se Cl F
2 1 1 1
direct
0.0000 0.5000 0.0000
0.5000 0.0000 0.0000
0.0000 0.0000 0.5000
0.5000 0.5000 0.5000
0.0000 0.0000 0.0000
```

Results
The calculation puts the total energy at -13.81 eV per cell. The formation energy (no corrections) is 52 kJ/mol of atoms. The calculated volume comes out at 102.9 Å³/cell. As for the symmetry: P4/mmm (123). The total moment is 0.00 μB/cell.

---

(8)
VASP calculation (PBE) on crystalline TcAs2ClF at its relaxed geometry.

Cell and atoms, written as POSCAR:
```
TcAs2ClF
1.0
4.8541 0.0000 0.0000
0.0000 4.8541 0.0000
0.0000 0.0000 4.1231
Tc As Cl F
1 2 1 1
direct
0.0000 0.0000 0.0000
0.0000 0.5000 0.5000
0.5000 0.0000 0.5000
0.5000 0.5000 0.5000
0.5000 0.5000 0.0000
```

Results
The calculation puts the total energy at -19.15 eV per cell. The formation energy (no corrections) is 82 kJ/mol of atoms. The calculated volume comes out at 97.2 Å³/cell. As for the symmetry: P4/mmm (123). The total moment is 3.18 μB/cell.

---

(9)
VASP calculation (PBE) on crystalline Fe2AsCl at its relaxed geometry.

Cell and atoms, written as POSCAR:
```
Fe2AsCl
1.0
4.0706 0.0000 0.0000
0.0000 3.0775 0.0000
-0.0267 0.0000 5.2004
Fe As Cl
2 1 1
direct
0.0000 0.0000 0.0000
0.5000 0.5000 0.5000
0.0000 0.0000 0.5000
0.5000 0.5000 0.0000
```

Results
The calculation puts the total energy at -22.37 eV per cell. The formation energy (no corrections) is 25 kJ/mol of atoms. The calculated volume comes out at 65.1 Å³/cell. As for the symmetry: P2/m (10). The total moment is 6.48 μB/cell.

---

(10)
VASP calculation (PBE) on crystalline Fe2AsCl at its relaxed geometry.

Cell and atoms, written as POSCAR:
```
Fe2AsCl
1.0
3.1273 0.0000 0.0000
0.0000 3.1273 0.0000
0.0000 0.0000 7.3029
Fe As Cl
2 1 1
direct
0.0000 0.0000 0.0000
0.5000 0.5000 0.1763
0.0000 0.0000 0.3470
0.5000 0.5000 0.8092
```

Results
The calculation puts the total energy at -23.67 eV per cell. The formation energy (no corrections) is -6 kJ/mol of atoms. The calculated volume comes out at 71.4 Å³/cell. As for the symmetry: P4mm (99). The total moment is 5.64 μB/cell.

---

(11)
VASP calculation (PBE) on crystalline FeAsCl at its relaxed geometry.

Cell and atoms, written as POSCAR:
```
FeAsCl
1.0
3.7700 0.0000 0.0000
0.0000 4.6841 0.0000
0.0000 0.0000 13.5147
Fe As Cl
4 4 4
direct
0.0000 0.0000 0.0000
0.0000 0.5000 0.5000
0.5000 0.0000 0.5000
0.5000 0.5000 0.0000
0.0000 0.0000 0.6188
0.0000 0.5000 0.1188
0.5000 0.0000 0.1188
0.5000 0.5000 0.6188
0.0000 0.0000 0.3866
0.0000 0.5000 0.8866
0.5000 0.0000 0.8866
0.5000 0.5000 0.3866
```

Results
The calculation puts the total energy at -59.72 eV per cell. The formation energy (no corrections) is 1 kJ/mol of atoms. The calculated volume comes out at 238.7 Å³/cell. As for the symmetry: Fmm2 (42). The total moment is 9.58 μB/cell.

---

(12)
VASP calculation (PBE) on crystalline FeAsCl2 at its relaxed geometry.

Cell and atoms, written as POSCAR:
```
FeAsCl2
1.0
3.1479 0.0000 0.0000
0.0000 4.2163 0.0000
0.0000 0.0000 14.0963
Fe As Cl
2 2 4
direct
0.0000 0.0000 0.0000
0.5000 0.5000 0.5000
0.0000 0.0000 0.5000
0.5000 0.5000 0.0000
0.0000 0.5000 0.3623
0.0000 0.5000 0.6377
0.5000 0.0000 0.1377
0.5000 0.0000 0.8623
```

Results
The calculation puts the total energy at -33.81 eV per cell. The formation energy (no corrections) is -2 kJ/mol of atoms. The calculated volume comes out at 187.1 Å³/cell. As for the symmetry: Immm (71). The total moment is 5.34 μB/cell.

---

(13)
VASP calculation (PBE) on crystalline FeAsCl3 at its relaxed geometry.

Cell and atoms, written as POSCAR:
```
FeAsCl3
1.0
5.0978 0.0000 0.0000
0.0000 5.0978 0.0000
0.0000 0.0000 5.0978
Fe As Cl
1 1 3
direct
0.0000 0.0000 0.0000
0.5000 0.5000 0.5000
0.0000 0.5000 0.5000
0.5000 0.0000 0.5000
0.5000 0.5000 0.0000
```

Results
The calculation puts the total energy at -16.68 eV per cell. The formation energy (no corrections) is 38 kJ/mol of atoms. The calculated volume comes out at 132.5 Å³/cell. As for the symmetry: Pm-3m (221). The total moment is 4.44 μB/cell.

---

(14)
VASP calculation (PBE) on crystalline FeAsCl2 at its relaxed geometry.

Cell and atoms, written as POSCAR:
```
FeAsCl2
1.0
6.0277 0.0000 0.0000
0.0000 8.1543 0.0000
-3.0040 0.0000 3.2720
Fe As Cl
2 2 4
direct
0.0000 0.0000 0.0000
0.5000 0.5000 0.0000
0.0000 0.5000 0.0000
0.5000 0.0000 0.0000
0.2500 0.2500 0.5000
0.2500 0.7500 0.5000
0.7500 0.2500 0.5000
0.7500 0.7500 0.5000
```

Results
The calculation puts the total energy at -31.54 eV per cell. The formation energy (no corrections) is 25 kJ/mol of atoms. The calculated volume comes out at 160.8 Å³/cell. As for the symmetry: C2/m (12). The total moment is 7.12 μB/cell.

---

(15)
VASP calculation (PBE) on crystalline FeAsCl2 at its relaxed geometry.

Cell and atoms, written as POSCAR:
```
FeAsCl2
1.0
6.2558 0.0000 0.0000
0.0000 7.7695 0.0000
0.0000 0.0000 3.0808
Fe As Cl
2 2 4
direct
0.0000 0.0000 0.0000
0.5000 0.5000 0.0000
0.0000 0.5000 0.0000
0.5000 0.0000 0.0000
0.2500 0.2500 0.5000
0.2500 0.7500 0.5000
0.7500 0.2500 0.5000
0.7500 0.7500 0.5000
```

Results
The calculation puts the total energy at -29.19 eV per cell. The formation energy (no corrections) is 53 kJ/mol of atoms. The calculated volume comes out at 149.7 Å³/cell. As for the symmetry: Cmmm (65). The total moment is 7.36 μB/cell.

---

(16)
VASP calculation (PBE) on crystalline FeAsCl3 at its relaxed geometry.

Cell and atoms, written as POSCAR:
```
FeAsCl3
1.0
4.5664 0.0000 0.0000
0.0000 4.5664 0.0000
0.0000 0.0000 4.5664
Fe As Cl
1 1 3
direct
0.0000 0.0000 0.0000
0.5000 0.5000 0.5000
0.0000 0.0000 0.5000
0.0000 0.5000 0.0000
0.5000 0.0000 0.0000
```

Results
The calculation puts the total energy at -17.38 eV per cell. The formation energy (no corrections) is 25 kJ/mol of atoms. The calculated volume comes out at 95.2 Å³/cell. As for the symmetry: Pm-3m (221). The total moment is 0.00 μB/cell.

---

(17)
VASP calculation (PBE) on crystalline FeAsCl at its relaxed geometry.

Cell and atoms, written as POSCAR:
```
FeAsCl
1.0
6.3595 0.0000 0.0000
0.0000 6.3595 0.0000
0.0000 0.0000 6.3595
Fe As Cl
4 4 4
direct
0.0000 0.0000 0.0000
0.0000 0.5000 0.5000
0.5000 0.0000 0.5000
0.5000 0.5000 0.0000
0.2500 0.2500 0.7500
0.2500 0.7500 0.2500
0.7500 0.2500 0.2500
0.7500 0.7500 0.7500
0.0000 0.0000 0.5000
0.0000 0.5000 0.0000
0.5000 0.0000 0.0000
0.5000 0.5000 0.5000
```

Results
The calculation puts the total energy at -50.70 eV per cell. The formation energy (no corrections) is 73 kJ/mol of atoms. The calculated volume comes out at 257.2 Å³/cell. As for the symmetry: F-43m (216). The total moment is 11.73 μB/cell.

---

(18)
VASP calculation (PBE) on crystalline Fe2AsCl at its relaxed geometry.

Cell and atoms, written as POSCAR:
```
Fe2AsCl
1.0
3.1022 0.0000 0.0000
0.0000 3.2982 0.0000
0.0000 0.0000 6.3970
Fe As Cl
2 1 1
direct
0.0000 0.0000 0.1884
0.0000 0.0000 0.8116
0.5000 0.5000 0.0000
0.5000 0.0000 0.5000
```

Results
The calculation puts the total energy at -23.31 eV per cell. The formation energy (no corrections) is 3 kJ/mol of atoms. The calculated volume comes out at 65.5 Å³/cell. As for the symmetry: Pmmm (47). The total moment is 5.37 μB/cell.

---

(19)
VASP calculation (PBE) on crystalline FeAsCl2 at its relaxed geometry.

Cell and atoms, written as POSCAR:
```
FeAsCl2
1.0
3.2212 0.0000 0.0000
-1.6106 2.7897 0.0000
0.0000 0.0000 27.1749
Fe As Cl
3 3 6
direct
0.0000 0.0000 0.0000
0.3333 0.6667 0.6667
0.6667 0.3333 0.3333
0.0000 0.0000 0.5000
0.3333 0.6667 0.1667
0.6667 0.3333 0.8333
0.0000 0.0000 0.0790
0.0000 0.0000 0.9210
0.3333 0.6667 0.5877
0.3333 0.6667 0.7456
0.6667 0.3333 0.2544
0.6667 0.3333 0.4123
```

Results
The calculation puts the total energy at -47.77 eV per cell. The formation energy (no corrections) is 21 kJ/mol of atoms. The calculated volume comes out at 244.2 Å³/cell. As for the symmetry: R-3m (166). The total moment is 9.15 μB/cell.

---

(20)
VASP calculation (PBE) on crystalline FeAsCl2 at its relaxed geometry.

Cell and atoms, written as POSCAR:
```
FeAsCl2
1.0
3.3782 0.0000 0.0000
-1.6891 2.9256 0.0000
0.0000 0.0000 25.1583
Fe As Cl
3 3 6
direct
0.0000 0.0000 0.0000
0.3333 0.6667 0.6667
0.6667 0.3333 0.3333
0.0000 0.0000 0.7280
0.3333 0.6667 0.3947
0.6667 0.3333 0.0613
0.0000 0.0000 0.2770
0.0000 0.0000 0.4703
0.3333 0.6667 0.1370
0.3333 0.6667 0.9437
0.6667 0.3333 0.6104
0.6667 0.3333 0.8036
```

Results
The calculation puts the total energy at -53.21 eV per cell. The formation energy (no corrections) is -22 kJ/mol of atoms. The calculated volume comes out at 248.7 Å³/cell. As for the symmetry: R3m (160). The total moment is 7.86 μB/cell.